# 1
DFT (PBE) results for a relaxed PPb crystal.

```
PPb
1.0
12.028 0.000 0.000
0.000 12.028 0.000
0.000 0.000 4.219
Pb P
8 8
Direct
0.376 0.210 0.000
0.290 0.876 0.500
0.624 0.790 0.000
0.210 0.624 0.000
0.124 0.290 0.500
0.710 0.124 0.500
0.790 0.376 0.000
0.876 0.710 0.500
0.894 0.273 0.500
0.273 0.106 0.500
0.227 0.394 0.000
0.106 0.727 0.500
0.606 0.227 0.000
0.773 0.606 0.000
0.394 0.773 0.000
0.727 0.894 0.500
```

Calculated values
* crystal system: tetragonal
* formation energy from the elements: 0.36 eV/atom

***

# 2
DFT (PBE) results for a relaxed KCePdCl6 crystal.

```
KCePdCl6
1.0
-2.260 4.592 4.410
-4.093 -4.932 -2.136
4.346 -8.324 10.895
Cl Ce Pd K
12 2 2 2
Direct
0.366 0.355 0.857
0.355 0.989 0.143
0.355 0.366 0.357
0.011 0.366 0.143
0.634 0.645 0.143
0.645 0.634 0.643
0.989 0.355 0.643
0.989 0.634 0.857
0.366 0.011 0.643
0.011 0.645 0.357
0.645 0.011 0.857
0.634 0.989 0.357
0.667 0.333 0.250
0.333 0.667 0.750
0.333 0.667 0.250
0.667 0.333 0.750
0.000 0.000 0.500
0.000 0.000 0.000
```

Calculated values
* crystal system: trigonal
* formation energy without anion corrections: -1.55 eV/atom

***

# 3
DFT (PBE) results for a relaxed ScFe2Ir crystal.

```
ScFe2Ir
1.0
-0.908 2.625 0.101
-3.722 -1.256 -0.822
-0.951 -0.527 5.115
Sc Fe Ir
1 2 1
Direct
0.500 0.500 0.750
0.000 0.000 0.016
0.000 0.000 0.484
0.500 0.500 0.250
```

Calculated values
* crystal system: orthorhombic
* formation energy from the elements: -0.07 eV/atom

***

# 4
DFT (PBE) results for a relaxed La4GeSbI2 crystal.

```
La4GeSbI2
1.0
-0.368 -4.526 -0.093
5.504 -0.326 -5.896
7.234 -0.655 3.272
Sb La I Ge
1 4 2 1
Direct
0.500 0.500 0.000
0.000 0.716 0.744
0.000 0.284 0.256
0.500 0.292 0.720
0.500 0.708 0.280
0.500 0.000 0.500
0.000 0.000 0.000
0.000 0.500 0.500
```

Calculated values
* crystal system: monoclinic
* formation energy without anion corrections: -1.16 eV/atom